RbFeO2: optimized geometry, GGA+U.

Cell lengths 5.8277, 11.7261, 16.6836 Å; angles 90.00, 90.00, 90.00 degrees
Last column: nearest neighbours and their distance in Å.
Fractional positions:
O  0.8065  0.1576  0.3484  2 Fe 1.91
O  0.0576  0.0205  0.7810  2 Fe 1.91
O  0.6935  0.6576  0.3484  2 Fe 1.91
O  0.8321  0.9024  0.3959  2 Fe 1.91-1.92
O  0.9178  0.7105  0.5189  2 Fe 1.91
O  0.6679  0.0976  0.8959  2 Fe 1.91-1.92
O  0.5822  0.2105  0.5189  2 Fe 1.91
O  0.9424  0.9795  0.2190  2 Fe 1.91
O  0.6935  0.8424  0.8484  2 Fe 1.91
O  0.9178  0.7895  0.0189  2 Fe 1.91
O  0.9424  0.5205  0.7190  2 Fe 1.91
O  0.1935  0.6576  0.1516  2 Fe 1.91
O  0.1679  0.0976  0.6041  2 Fe 1.91-1.92
O  0.5576  0.4795  0.2190  2 Fe 1.91
O  0.5822  0.2895  0.0189  2 Fe 1.91
O  0.8321  0.5976  0.8959  2 Fe 1.91-1.92
O  0.1679  0.4024  0.1041  2 Fe 1.91-1.92
O  0.4424  0.5205  0.7810  2 Fe 1.91
O  0.4178  0.7895  0.4811  2 Fe 1.91
O  0.0576  0.4795  0.2810  2 Fe 1.91
O  0.4178  0.7105  0.9811  2 Fe 1.91
O  0.4424  0.9795  0.2810  2 Fe 1.91
O  0.3321  0.9024  0.1041  2 Fe 1.91-1.92
O  0.6679  0.4024  0.3959  2 Fe 1.91-1.92
O  0.3065  0.1576  0.1516  2 Fe 1.91
O  0.3065  0.3424  0.6516  2 Fe 1.91
O  0.3321  0.5976  0.6041  2 Fe 1.91-1.92
O  0.1935  0.8424  0.6516  2 Fe 1.91
O  0.0822  0.2105  0.9811  2 Fe 1.91
O  0.8065  0.3424  0.8484  2 Fe 1.91
O  0.0822  0.2895  0.4811  2 Fe 1.91
O  0.5576  0.0205  0.7190  2 Fe 1.91
Fe  0.2147  0.7390  0.5636  4 O 1.91-1.92
Fe  0.2147  0.7610  0.0636  4 O 1.91-1.92
Fe  0.2853  0.2610  0.0636  4 O 1.91-1.92
Fe  0.7546  0.4944  0.8113  4 O 1.91
Fe  0.2454  0.5056  0.1887  4 O 1.91
Fe  0.2454  0.9944  0.6887  4 O 1.91
Fe  0.2853  0.2390  0.5636  4 O 1.91-1.92
Fe  0.7853  0.2390  0.9364  4 O 1.91-1.92
Fe  0.7454  0.9944  0.8113  4 O 1.91
Fe  0.7853  0.2610  0.4364  4 O 1.91-1.92
Fe  0.7546  0.0056  0.3113  4 O 1.91
Fe  0.7147  0.7610  0.4364  4 O 1.91-1.92
Fe  0.7454  0.5056  0.3113  4 O 1.91
Fe  0.2546  0.4944  0.6887  4 O 1.91
Fe  0.7147  0.7390  0.9364  4 O 1.91-1.92
Fe  0.2546  0.0056  0.1887  4 O 1.91
Rb  0.3003  0.2394  0.8146  6 O 2.98-3.24
Rb  0.8003  0.2606  0.1854  6 O 2.98-3.24
Rb  0.2482  0.5108  0.4380  4 O 2.84-2.99
Rb  0.7518  0.0108  0.0620  4 O 2.84-2.99
Rb  0.2482  0.9892  0.9380  4 O 2.84-2.99
Rb  0.7482  0.5108  0.0620  4 O 2.84-2.99
Rb  0.8003  0.2394  0.6854  6 O 2.98-3.24
Rb  0.1997  0.7394  0.8146  6 O 2.98-3.24
Rb  0.2518  0.0108  0.4380  4 O 2.84-2.99
Rb  0.1997  0.7606  0.3146  6 O 2.98-3.24
Rb  0.7482  0.9892  0.5620  4 O 2.84-2.99
Rb  0.6997  0.7394  0.6854  6 O 2.98-3.24
Rb  0.6997  0.7606  0.1854  6 O 2.98-3.24
Rb  0.3003  0.2606  0.3146  6 O 2.98-3.24
Rb  0.7518  0.4892  0.5620  4 O 2.84-2.99
Rb  0.2518  0.4892  0.9380  4 O 2.84-2.99

Values from the calculation:
Its density of states at the Fermi level is 0.0000 states/eV/atom. The total DFT energy (no corrections) is -5.635 eV per atom. As for the space group: Pbca (61).